Record 1
Co2PBr | PBE | optimized geometry

Summary:
M_tot, μB/cell: 0.0
Offset from the most stable computed form, kJ/mol of formula units: 23
ΔE_f (raw), eV/atom: -0.1454

Cell: 3.4617 3.4617 6.0531 Å, 73.40 73.40 60.04°
Fractional positions:
Br (0.2500, 0.2500, 0.2500)
Co (0.0309, 0.0309, 0.9079)
Co (0.4691, 0.4691, 0.5921)
P (0.7500, 0.7500, 0.7500)


Record 2
YHgI2 | PBE | optimized geometry

Summary:
M_tot, μB/cell: 0.0
Offset from the most stable computed form, kJ/mol of formula units: 50
ΔE_f (raw), eV/atom: -0.7640

Cell: 10.7895 10.7895 8.2512 Å, 49.17 49.17 90.00°
Fractional positions:
I (0.4849, 0.1250, 0.2500)
I (0.2651, 0.6250, 0.2500)
I (0.3750, 0.5151, 0.7500)
I (0.8750, 0.7349, 0.7500)
Y (0.5000, 0.5000, 0.0000)
Y (0.2500, 0.7500, 0.5000)
Hg (0.0000, 0.0000, 0.0000)
Hg (0.7500, 0.2500, 0.5000)


Record 3
Re2TcPt | PBE | optimized geometry

Summary:
M_tot, μB/cell: 0.0
Offset from the most stable computed form, kJ/mol of formula units: 113

Cell: 3.2877 3.2877 5.6275 Å, 90.00 90.00 90.00°
Fractional positions:
Pt (0.5000, 0.5000, 0.7491)
Re (0.0000, 0.0000, 0.0044)
Re (0.5000, 0.5000, 0.2512)
Tc (0.0000, 0.0000, 0.4952)